(1)
# Al3Ag4 (PBEsol, relaxed)
# D(E_F) = 1.7 states/eV/cell
# SG = R3m, No. 160
# V = 113.8 Å³/cell
# Energy relative to the lowest polymorph listed for this composition = 25 meV/atom
# Energy of formation = -0.06 eV per atom
data_Al3Ag4
_chemical_formula_sum 'Al3 Ag4'
_space_group_name_H-M_alt 'P 1'
_space_group_IT_number 1
_space_group_name_Hall 'P 1'
_cell_length_a 15.587
_cell_length_b 15.587
_cell_length_c 15.587
_cell_angle_alpha 10.72
_cell_angle_beta 10.72
_cell_angle_gamma 10.72
loop_
_atom_site_label
_atom_site_type_symbol
_atom_site_fract_x
_atom_site_fract_y
_atom_site_fract_z
_atom_site_occupancy
Al1 Al 0.000 0.000 0.000 1
Al2 Al 0.142 0.142 0.142 1
Al3 Al 0.427 0.427 0.427 1
Ag1 Ag 0.287 0.287 0.287 1
Ag2 Ag 0.571 0.571 0.571 1
Ag3 Ag 0.714 0.714 0.714 1
Ag4 Ag 0.854 0.854 0.854 1

=====

(2)
# Sc2HgMo (PBEsol, relaxed)
# D(E_F) = 3.8 states/eV/cell
# SG = P4mm, No. 99
# V = 78.1 Å³/cell
# Energy of formation = 0.14 eV per atom
data_Sc2HgMo
_chemical_formula_sum 'Sc2 Hg1 Mo1'
_space_group_name_H-M_alt 'P 1'
_space_group_IT_number 1
_space_group_name_Hall 'P 1'
_cell_length_a 2.932
_cell_length_b 2.932
_cell_length_c 9.088
_cell_angle_alpha 90.00
_cell_angle_beta 90.00
_cell_angle_gamma 90.00
loop_
_atom_site_label
_atom_site_type_symbol
_atom_site_fract_x
_atom_site_fract_y
_atom_site_fract_z
_atom_site_occupancy
Sc1 Sc 0.000 0.000 0.000 1
Sc2 Sc 0.500 0.500 0.292 1
Hg1 Hg 0.500 0.500 0.758 1
Mo1 Mo 0.000 0.000 0.525 1

=====

(3)
# Te2PO (PBEsol, relaxed)
# D(E_F) = 1.8 states/eV/cell
# SG = R-3m, No. 166
# V = 88.5 Å³/cell
# Energy relative to the lowest polymorph listed for this composition = 0 meV/atom
# ΔE_f (raw) = 6.5 kJ/mol of atoms
data_Te2PO
_chemical_formula_sum 'Te2 P1 O1'
_space_group_name_H-M_alt 'P 1'
_space_group_IT_number 1
_space_group_name_Hall 'P 1'
_cell_length_a 8.001
_cell_length_b 8.001
_cell_length_c 8.001
_cell_angle_alpha 26.28
_cell_angle_beta 26.28
_cell_angle_gamma 26.28
loop_
_atom_site_label
_atom_site_type_symbol
_atom_site_fract_x
_atom_site_fract_y
_atom_site_fract_z
_atom_site_occupancy
Te1 Te 0.088 0.088 0.088 1
Te2 Te 0.912 0.912 0.912 1
P1 P 0.500 0.500 0.500 1
O1 O 0.000 0.000 0.000 1

=====

(4)
# KRb3 (PBEsol, relaxed)
# D(E_F) = 6.7 states/eV/cell
# SG = P6_3/mmc, No. 194
# V = 656.4 Å³/cell
# Energy of formation = 0.00 eV per atom
data_KRb3
_chemical_formula_sum 'K2 Rb6'
_space_group_name_H-M_alt 'P 1'
_space_group_IT_number 1
_space_group_name_Hall 'P 1'
_cell_length_a 9.782
_cell_length_b 9.782
_cell_length_c 7.921
_cell_angle_alpha 90.00
_cell_angle_beta 90.00
_cell_angle_gamma 120.00
loop_
_atom_site_label
_atom_site_type_symbol
_atom_site_fract_x
_atom_site_fract_y
_atom_site_fract_z
_atom_site_occupancy
K1 K 0.333 0.667 0.250 1
K2 K 0.667 0.333 0.750 1
Rb1 Rb 0.169 0.338 0.750 1
Rb2 Rb 0.169 0.831 0.750 1
Rb3 Rb 0.338 0.169 0.250 1
Rb4 Rb 0.662 0.831 0.750 1
Rb5 Rb 0.831 0.169 0.250 1
Rb6 Rb 0.831 0.662 0.250 1

=====

Copy entry 2 word for word.
# Sc2HgMo (PBEsol, relaxed)
# D(E_F) = 3.8 states/eV/cell
# SG = P4mm, No. 99
# V = 78.1 Å³/cell
# Energy of formation = 0.14 eV per atom
data_Sc2HgMo
_chemical_formula_sum 'Sc2 Hg1 Mo1'
_space_group_name_H-M_alt 'P 1'
_space_group_IT_number 1
_space_group_name_Hall 'P 1'
_cell_length_a 2.932
_cell_length_b 2.932
_cell_length_c 9.088
_cell_angle_alpha 90.00
_cell_angle_beta 90.00
_cell_angle_gamma 90.00
loop_
_atom_site_label
_atom_site_type_symbol
_atom_site_fract_x
_atom_site_fract_y
_atom_site_fract_z
_atom_site_occupancy
Sc1 Sc 0.000 0.000 0.000 1
Sc2 Sc 0.500 0.500 0.292 1
Hg1 Hg 0.500 0.500 0.758 1
Mo1 Mo 0.000 0.000 0.525 1

=====

- What is the V in the third record?
  88.5 Å³/cell